Density functional theory data (meta-GGA SCAN) for a crystal of Ba2CuSi2O7 relaxed with PBEsol.

uncorrected energy	-191.8	eV per formula unit
uncorrected formation energy	-2819	meV/atom
energy above the lowest structure with this stoichiometry	0.000	eV per atom

Cell and atoms, written as POSCAR:
```
Ba2CuSi2O7
1.0
-5.2504 -0.0988 -0.3287
-0.2102 -6.4287 5.2905
-0.5009 5.2923 6.4111
Ba Cu Si O
4 2 4 14
Cartesian
-2.8904 -3.4542 4.4307 Ba
-3.0929 -1.8755 8.5212 Ba
-2.7857 0.6418 2.8568 Ba
-3.1540 2.2174 6.9369 Ba
-0.3556 -0.5682 5.8508 Cu
0.0000 0.0000 0.0000 Cu
-5.4950 -3.7262 6.6010 Si
-0.6873 0.4992 8.8981 Si
-0.2646 -1.6401 2.7884 Si
-5.4761 2.3968 4.4583 Si
-4.7892 -2.3311 6.1037 O
-4.7860 1.0279 5.0429 O
-1.0590 -1.1130 4.1237 O
-1.2888 -0.0542 7.4754 O
-4.7239 -4.9656 5.8518 O
-1.4486 -0.3097 10.1056 O
-0.8992 -0.8575 1.4935 O
-4.8514 3.6624 5.2948 O
-1.8535 -3.6591 6.8433 O
-4.3301 0.4449 8.6714 O
-4.8120 2.5603 2.9200 O
-0.7940 -3.2273 2.6021 O
-1.8329 2.4667 4.6720 O
-3.9066 -1.7229 2.5590 O
```